[1]
Computed, not measured: a relaxed ZrMnW4 crystal at the PBE level of DFT.

Properties
Crystal system: cubic
SG: F-43m
ρ (kg/m3): 13642
ΔE_f (eV per atom): 0.256

Cell lengths 5.334, 5.334, 5.334 Å; angles 60.00, 60.00, 60.00 degrees
Element x y z (fractional)
Zr 0.000 0.000 0.000
Mn 0.750 0.750 0.750
W 0.375 0.375 0.375
W 0.375 0.375 0.876
W 0.375 0.876 0.375
W 0.876 0.375 0.375

[2]
Computed, not measured: a relaxed Ho8Ge3HSe4 crystal at the PBE level of DFT.

Properties
Crystal system: trigonal
Raw total energy (eV per atom): -5.497
SG: R-3m
ρ (kg/m3): 8126

Cell lengths 8.150, 8.150, 8.150 Å; angles 59.55, 59.55, 59.55 degrees
Element x y z (fractional)
Ho 0.242 0.749 0.749
Ho 0.246 0.246 0.246
Ho 0.251 0.251 0.758
Ho 0.251 0.758 0.251
Ho 0.749 0.242 0.749
Ho 0.749 0.749 0.242
Ho 0.754 0.754 0.754
Ho 0.758 0.251 0.251
Ge 0.000 0.000 0.500
Ge 0.000 0.500 0.000
Ge 0.500 0.000 0.000
H 0.500 0.500 0.500
Se 0.000 0.000 0.000
Se 0.000 0.500 0.500
Se 0.500 0.000 0.500
Se 0.500 0.500 0.000

[3]
Computed, not measured: a relaxed Pm4Pr2Co crystal at the PBE level of DFT.

Properties
Crystal system: tetragonal
SG: I4/mmm
ρ (kg/m3): 6317
ΔE_f (eV per atom): 0.231

Cell lengths 5.249, 5.249, 17.570 Å; angles 90.00, 90.00, 90.00 degrees
Element x y z (fractional)
Pm 0.000 0.000 0.158
Pm 0.000 0.000 0.842
Pm 0.000 0.500 0.000
Pm 0.000 0.500 0.500
Pm 0.500 0.000 0.000
Pm 0.500 0.000 0.500
Pm 0.500 0.500 0.342
Pm 0.500 0.500 0.658
Pr 0.000 0.000 0.350
Pr 0.000 0.000 0.650
Pr 0.500 0.500 0.150
Pr 0.500 0.500 0.850
Co 0.000 0.000 0.000
Co 0.500 0.500 0.500